[1]
Here is Na2Zn12Cu5 after structural relaxation from Alexandria via LeMat-Bulk. Energies are from PBE-GGA.

Geometry as CIF:
```
data_Na2Zn12Cu5
_chemical_formula_sum 'Na6 Zn36 Cu15'
_cell_length_a 8.9035
_cell_length_b 8.9035
_cell_length_c 12.8825
_cell_angle_alpha 90.00
_cell_angle_beta 90.00
_cell_angle_gamma 120.00
_symmetry_space_group_name_H-M 'R -3 m'
_symmetry_Int_Tables_number 166
_symmetry_space_group_name_Hall '-R 3 2"'
loop_
_atom_site_label
_atom_site_type_symbol
_atom_site_fract_x
_atom_site_fract_y
_atom_site_fract_z
Na1 Na 0.0000 0.0000 0.1577
Zn1 Zn 0.0000 0.2927 0.5000
Zn2 Zn 0.0126 0.5063 0.3505
Cu1 Cu 0.0000 0.0000 0.4001
Cu2 Cu 0.0000 0.5000 0.0000
```

Output
energy of formation from the pure elements = -52.2 meV per atom
DOS at the Fermi energy = 19.626 states/eV/cell
M_tot = 0.00 μB per cell

[2]
Here is La2NdErTh after structural relaxation from Alexandria via LeMat-Bulk. Energies are from PBE-GGA.

Geometry as CIF:
```
data_La2NdErTh
_chemical_formula_sum 'La4 Nd2 Er2 Th2'
_cell_length_a 9.2122
_cell_length_b 6.3761
_cell_length_c 6.5752
_cell_angle_alpha 90.00
_cell_angle_beta 110.38
_cell_angle_gamma 90.00
_symmetry_space_group_name_H-M 'P 1 2/c 1'
_symmetry_Int_Tables_number 13
loop_
_symmetry_equiv_pos_as_xyz
'x,y,z'
'-x,-y,-z'
'-x,y,-z+1/2'
'x,-y,z+1/2'
loop_
_atom_site_label
_atom_site_type_symbol
_atom_site_fract_x
_atom_site_fract_y
_atom_site_fract_z
La1 La 0.1854 0.1921 0.3421
Nd1 Nd 0.0000 0.3365 0.7500
Er1 Er 0.5000 0.0015 0.7500
Th1 Th 0.5000 0.5000 0.0000
```

Output
energy of formation from the pure elements = 305.9 meV per atom
DOS at the Fermi energy = 14.719 states/eV/cell
M_tot = 0.00 μB per cell